[1]
This record from Alexandria describes crystalline MoP2Se at its relaxed geometry. The functional is GGA-PBE.

Cell lengths 3.0795, 4.7240, 4.2812 Å; angles 90.00, 90.00, 90.00 degrees
Last column: nearest neighbours and their distance in Å.
Fractional coordinates of all 4 atoms:
P  0.0000  0.0000  0.0000  4 Se 2.64, 4 P 2.82
P  0.5000  0.5000  0.0000  4 Mo 2.64, 4 P 2.82
Mo  0.0000  0.5000  0.5000  4 P 2.64, 4 Se 2.82
Se  0.5000  0.0000  0.5000  4 P 2.64, 4 Mo 2.82

Computed properties:
ρ	6315	kg/m3
formation energy from raw total energies	52.34	kJ/mol of atoms
space group	Pmmm (47)

***

[2]
This record from Alexandria describes crystalline MoPSe2 at its relaxed geometry. The functional is GGA-PBE.

Cell lengths 5.2830, 4.6086, 4.6070 Å; angles 69.96, 55.04, 55.01 degrees
Last column: nearest neighbours and their distance in Å.
Fractional coordinates of all 4 atoms:
P  0.0000  0.0000  0.0000  4 Se 2.64, 2 Mo 2.70
Se  0.0000  0.5000  0.5000  2 Mo 2.64, 2 P 2.64, 2 Se 2.70
Se  0.5000  0.0000  0.0000  2 Mo 2.64, 2 P 2.64, 2 Se 2.70
Mo  0.5000  0.5000  0.5000  4 Se 2.64, 2 P 2.70

Computed properties:
ρ	6282	kg/m3
formation energy from raw total energies	37.19	kJ/mol of atoms
space group	I4/mmm (139)

***

[3]
This record from Alexandria describes crystalline MoPSe2 at its relaxed geometry. The functional is GGA-PBE.

Cell lengths 4.7950, 4.7950, 4.7950 Å; angles 128.20, 128.20, 76.31 degrees
Last column: nearest neighbours and their distance in Å.
Fractional coordinates of all 4 atoms:
Se  0.2500  0.7500  0.5000  4 Mo 2.82, 4 Se 2.82, 4 P 2.96
Se  0.0000  0.0000  0.0000  4 Se 2.82, 4 P 2.82, 4 Mo 2.96
Mo  0.5000  0.5000  0.0000  8 Se 2.82-2.96, 4 P 2.82
P  0.7500  0.2500  0.5000  4 Mo 2.82, 8 Se 2.82-2.96

Computed properties:
ρ	7148	kg/m3
formation energy from raw total energies	51.81	kJ/mol of atoms
space group	I-4m2 (119)

***

[4]
This record from Alexandria describes crystalline MoPSe2 at its relaxed geometry. The functional is GGA-PBE.

Cell lengths 2.8377, 2.8377, 10.2265 Å; angles 90.00, 90.00, 109.76 degrees
Last column: nearest neighbours and their distance in Å.
Fractional coordinates of all 4 atoms:
Se  0.0000  0.0000  0.0039  4 Se 2.84
Se  0.5000  0.5000  0.6958  2 Mo 2.67, 4 Se 2.84
P  0.5000  0.5000  0.3113  2 Mo 2.44
Mo  0.0000  0.0000  0.4890  2 P 2.44, 2 Se 2.67

Computed properties:
ρ	6103	kg/m3
formation energy from raw total energies	26.72	kJ/mol of atoms
space group	Cmm2 (35)